[1]
DFT (GGA-PBEsol) results for LiMgCu2 after structural relaxation.

POSCAR file:
```
LiMgCu2
1.0
2.8476 0.0000 0.0000
0.0000 3.4549 0.0000
0.0000 0.0000 5.5314
Li Mg Cu
1 1 2
Direct
0.0000 0.0000 0.0000 Li
0.0000 0.0000 0.5000 Mg
0.5000 0.5000 0.2310 Cu
0.5000 0.5000 0.7690 Cu
```

Computed properties:
**Final energy**: -3.08 eV per atom
**Energy relative to the elements**: 0.0092 eV/atom

[2]
DFT (GGA-PBEsol) results for LaAl2Ni after structural relaxation.

POSCAR file:
```
LaAl2Ni
1.0
3.0323 0.0000 0.0000
0.0000 3.0323 0.0000
0.0000 0.0000 7.6405
La Al Ni
1 2 1
Direct
0.0000 0.0000 0.0000 La
0.5000 0.5000 0.3239 Al
0.5000 0.5000 0.6761 Al
0.0000 0.0000 0.5000 Ni
```

Computed properties:
**Final energy**: -5.33 eV per atom
**Energy relative to the elements**: -0.4098 eV/atom

[3]
DFT (GGA-PBEsol) results for BeSiW2 after structural relaxation.

POSCAR file:
```
BeSiW2
1.0
1.3846 0.7994 8.2376
-1.3846 0.7994 8.2376
0.0000 -1.5987 8.2376
Be Si W
1 1 2
Direct
0.0000 0.0000 0.0000 Be
0.5000 0.5000 0.5000 Si
0.2520 0.2520 0.2520 W
0.7480 0.7480 0.7480 W
```

Computed properties:
**Final energy**: -9.07 eV per atom
**Uncorrected formation energy**: 25.9 kJ/mol of atoms

[4]
DFT (GGA-PBEsol) results for K2Au after structural relaxation.

POSCAR file:
```
K2Au
1.0
7.8538 0.0000 0.0000
0.0000 8.1132 0.0000
0.0000 0.0000 4.2248
K Au
4 2
Direct
0.2396 0.1691 0.0000 K
0.2604 0.6691 0.5000 K
0.7396 0.3309 0.5000 K
0.7604 0.8309 0.0000 K
0.0000 0.5000 0.0000 Au
0.5000 0.0000 0.5000 Au
```

Computed properties:
**Final energy**: -2.11 eV per atom
**Energy relative to the elements**: -0.0420 eV/atom

no.,V (A^3/atom),D(E_F) (states/eV per cell)
1,13.6,1.30
2,17.6,2.18
3,13.7,2.19
4,44.9,3.58